The following is a PBE calculation of a geometry-optimized GdGaAg4 structure, from the Alexandria database.

Cell: 5.564 5.564 5.564 Å, 60.00 60.00 60.00°
Fractional coordinates of all 6 atoms:
Ag1 0.625 0.124 0.625
Ag2 0.625 0.625 0.625
Ag3 0.625 0.625 0.124
Ag4 0.124 0.625 0.625
Ga1 0.000 0.000 0.000
Gd1 0.250 0.250 0.250

Calculated values
E_form in eV per atom: -0.163
Density of states at the Fermi level in states/eV/atom: 0.664
Crystal system: cubic
Symmetry: F-43m